No. 1
# Na5HfTe4 (PBE-GGA, relaxed)
# - magnetization (μB/f.u.) = 0.7
# - uncorrected energy (eV per cell) = -73.0
# - density of states at the Fermi level (states/eV/atom) = 0.401
# - ΔE_f (raw) (eV/atom) = -0.737
data_Na5HfTe4
_symmetry_space_group_name_H-M 'I m m m'
_symmetry_Int_Tables_number 71
_symmetry_space_group_name_Hall '-I 2 2'
_cell_length_a 4.5586
_cell_length_b 8.3252
_cell_length_c 16.9599
_cell_angle_alpha 90.00
_cell_angle_beta 90.00
_cell_angle_gamma 90.00
loop_
_atom_site_label
_atom_site_type_symbol
_atom_site_fract_x
_atom_site_fract_y
_atom_site_fract_z
_atom_site_occupancy
Na1 Na 0.0000 0.0000 0.0000 1
Na2 Na 0.0000 0.2450 0.3236 1
Hf1 Hf 0.0000 0.5000 0.0000 1
Te1 Te 0.0000 0.2368 0.5000 1
Te2 Te 0.0000 0.5000 0.1813 1

***

No. 2
# Li3Mg8Zn (PBE-GGA, relaxed)
# - magnetization (μB/f.u.) = 0.0
# - uncorrected energy (eV per cell) = -20.2
# - density of states at the Fermi level (states/eV/atom) = 0.294
# - calculated formation energy (eV/atom) = -0.04
data_Li3Mg8Zn
_symmetry_space_group_name_H-M 'P 1'
_symmetry_Int_Tables_number 1
_cell_length_a 4.8161
_cell_length_b 6.0619
_cell_length_c 8.5311
_cell_angle_alpha 90.76
_cell_angle_beta 90.06
_cell_angle_gamma 90.08
loop_
_symmetry_equiv_pos_as_xyz
'x,y,z'
loop_
_atom_site_label
_atom_site_type_symbol
_atom_site_fract_x
_atom_site_fract_y
_atom_site_fract_z
_atom_site_occupancy
Li1 Li 0.0000 0.0000 0.0000 1
Li2 Li 0.9998 0.5003 0.0005 1
Li3 Li 0.5002 0.4988 0.5001 1
Mg1 Mg 0.0005 0.3604 0.6671 1
Mg2 Mg 0.9999 0.6392 0.3342 1
Mg3 Mg 0.9999 0.8600 0.6602 1
Mg4 Mg 0.4994 0.3463 0.1651 1
Mg5 Mg 0.5003 0.1510 0.8263 1
Mg6 Mg 0.5001 0.6530 0.8344 1
Mg7 Mg 0.4997 0.8480 0.1737 1
Mg8 Mg 0.9994 0.1399 0.3398 1
Zn1 Zn 0.4997 0.9991 0.4999 1

***

No. 3
# DyTmTh4 (PBE-GGA, relaxed)
# - magnetization (μB/f.u.) = 0.0
# - uncorrected energy (eV per cell) = -38.2
# - density of states at the Fermi level (states/eV/atom) = 1.166
# - calculated formation energy (eV/atom) = 0.08
# - excess energy over the best structure of this formula in the dataset (eV/atom) = 0.0000
data_DyTmTh4
_symmetry_space_group_name_H-M 'P m m m'
_symmetry_Int_Tables_number 47
_cell_length_a 3.4821
_cell_length_b 5.6972
_cell_length_c 9.8540
_cell_angle_alpha 90.00
_cell_angle_beta 90.00
_cell_angle_gamma 90.00
loop_
_symmetry_equiv_pos_as_xyz
'x,y,z'
'-x,-y,-z'
'-x,-y,z'
'x,y,-z'
'x,-y,-z'
'-x,y,z'
'-x,y,-z'
'x,-y,z'
loop_
_atom_site_label
_atom_site_type_symbol
_atom_site_fract_x
_atom_site_fract_y
_atom_site_fract_z
_atom_site_occupancy
Dy1 Dy 0.0000 0.0000 0.0000 1
Tm1 Tm 0.0000 0.5000 0.5000 1
Th1 Th 0.5000 0.0000 0.3341 1
Th2 Th 0.5000 0.5000 0.1678 1

***

No. 4
# AgBiIr3 (PBE-GGA, relaxed)
# - magnetization (μB/f.u.) = 0.8
# - uncorrected energy (eV per cell) = -23.0
# - density of states at the Fermi level (states/eV/atom) = 0.788
# - calculated formation energy (eV/atom) = 2.07
# - excess energy over the best structure of this formula in the dataset (eV/atom) = 0.0898
data_AgBiIr3
_symmetry_space_group_name_H-M 'P m -3 m'
_symmetry_Int_Tables_number 221
_symmetry_space_group_name_Hall '-P 4 2 3'
_cell_length_a 4.9868
_cell_length_b 4.9868
_cell_length_c 4.9868
_cell_angle_alpha 90.00
_cell_angle_beta 90.00
_cell_angle_gamma 90.00
loop_
_atom_site_label
_atom_site_type_symbol
_atom_site_fract_x
_atom_site_fract_y
_atom_site_fract_z
_atom_site_occupancy
Ag1 Ag 0.0000 0.0000 0.0000 1
Bi1 Bi 0.5000 0.5000 0.5000 1
Ir1 Ir 0.0000 0.5000 0.5000 1

***

No. 5
# NaTa2CoTc (PBE-GGA, relaxed)
# - magnetization (μB/f.u.) = 0.0
# - uncorrected energy (eV per cell) = -36.1
# - density of states at the Fermi level (states/eV/atom) = 1.023
# - calculated formation energy (eV/atom) = 1.29
data_NaTa2CoTc
_symmetry_space_group_name_H-M 'P 4/m m m'
_symmetry_Int_Tables_number 123
_symmetry_space_group_name_Hall '-P 4 2'
_cell_length_a 4.5629
_cell_length_b 4.5629
_cell_length_c 4.4291
_cell_angle_alpha 90.00
_cell_angle_beta 90.00
_cell_angle_gamma 90.00
loop_
_atom_site_label
_atom_site_type_symbol
_atom_site_fract_x
_atom_site_fract_y
_atom_site_fract_z
_atom_site_occupancy
Na1 Na 0.0000 0.0000 0.0000 1
Ta1 Ta 0.0000 0.5000 0.5000 1
Co1 Co 0.0000 0.0000 0.5000 1
Tc1 Tc 0.5000 0.5000 0.0000 1

***

No. 6
# CsCdI2Br (PBE-GGA, relaxed)
# - magnetization (μB/f.u.) = 0.0
# - uncorrected energy (eV per cell) = -9.1
# - density of states at the Fermi level (states/eV/atom) = 0.922
# - excess energy over the best structure of this formula in the dataset (eV/atom) = 0.5555
# - ΔE_f (raw) (eV/atom) = -0.503
data_CsCdI2Br
_symmetry_space_group_name_H-M 'P 4/m m m'
_symmetry_Int_Tables_number 123
_symmetry_space_group_name_Hall '-P 4 2'
_cell_length_a 6.9397
_cell_length_b 6.9397
_cell_length_c 5.2758
_cell_angle_alpha 90.00
_cell_angle_beta 90.00
_cell_angle_gamma 90.00
loop_
_atom_site_label
_atom_site_type_symbol
_atom_site_fract_x
_atom_site_fract_y
_atom_site_fract_z
_atom_site_occupancy
Cs1 Cs 0.0000 0.0000 0.0000 1
Cd1 Cd 0.5000 0.5000 0.0000 1
I1 I 0.0000 0.5000 0.5000 1
Br1 Br 0.5000 0.5000 0.5000 1

***

No. 7
# CaAcZnNi (PBE-GGA, relaxed)
# - magnetization (μB/f.u.) = 0.0
# - uncorrected energy (eV per cell) = -55.0
# - density of states at the Fermi level (states/eV/atom) = 0.710
# - calculated formation energy (eV/atom) = -0.14
# - excess energy over the best structure of this formula in the dataset (eV/atom) = 0.1024
data_CaAcZnNi
_symmetry_space_group_name_H-M 'F -4 3 m'
_symmetry_Int_Tables_number 216
_symmetry_space_group_name_Hall 'F -4 2 3'
_cell_length_a 7.3763
_cell_length_b 7.3763
_cell_length_c 7.3763
_cell_angle_alpha 90.00
_cell_angle_beta 90.00
_cell_angle_gamma 90.00
loop_
_atom_site_label
_atom_site_type_symbol
_atom_site_fract_x
_atom_site_fract_y
_atom_site_fract_z
_atom_site_occupancy
Ca1 Ca 0.0000 0.0000 0.0000 1
Ac1 Ac 0.0000 0.0000 0.5000 1
Zn1 Zn 0.2500 0.2500 0.2500 1
Ni1 Ni 0.2500 0.2500 0.7500 1

***

No. 8
# LuScHgPd (PBE-GGA, relaxed)
# - magnetization (μB/f.u.) = 0.0
# - uncorrected energy (eV per cell) = -75.8
# - density of states at the Fermi level (states/eV/atom) = 0.449
# - calculated formation energy (eV/atom) = -0.65
data_LuScHgPd
_symmetry_space_group_name_H-M 'F -4 3 m'
_symmetry_Int_Tables_number 216
_symmetry_space_group_name_Hall 'F -4 2 3'
_cell_length_a 6.9653
_cell_length_b 6.9653
_cell_length_c 6.9653
_cell_angle_alpha 90.00
_cell_angle_beta 90.00
_cell_angle_gamma 90.00
loop_
_atom_site_label
_atom_site_type_symbol
_atom_site_fract_x
_atom_site_fract_y
_atom_site_fract_z
_atom_site_occupancy
Lu1 Lu 0.0000 0.0000 0.0000 1
Sc1 Sc 0.0000 0.0000 0.5000 1
Hg1 Hg 0.2500 0.2500 0.7500 1
Pd1 Pd 0.2500 0.2500 0.2500 1

***

No. 9
# ZrReRh2 (PBE-GGA, relaxed)
# - magnetization (μB/f.u.) = 0.2
# - uncorrected energy (eV per cell) = -143.2
# - density of states at the Fermi level (states/eV/atom) = 2.331
# - calculated formation energy (eV/atom) = -0.03
# - excess energy over the best structure of this formula in the dataset (eV/atom) = 0.3127
data_ZrReRh2
_symmetry_space_group_name_H-M 'F m -3 m'
_symmetry_Int_Tables_number 225
_symmetry_space_group_name_Hall '-F 4 2 3'
_cell_length_a 6.3924
_cell_length_b 6.3924
_cell_length_c 6.3924
_cell_angle_alpha 90.00
_cell_angle_beta 90.00
_cell_angle_gamma 90.00
loop_
_atom_site_label
_atom_site_type_symbol
_atom_site_fract_x
_atom_site_fract_y
_atom_site_fract_z
_atom_site_occupancy
Zr1 Zr 0.0000 0.0000 0.0000 1
Re1 Re 0.0000 0.0000 0.5000 1
Rh1 Rh 0.2500 0.2500 0.2500 1

***

No. 10
# Dy2HoMg3 (PBE-GGA, relaxed)
# - magnetization (μB/f.u.) = 0.0
# - uncorrected energy (eV per cell) = -19.0
# - density of states at the Fermi level (states/eV/atom) = 1.412
# - calculated formation energy (eV/atom) = -0.08
data_Dy2HoMg3
_symmetry_space_group_name_H-M 'P 4/m m m'
_symmetry_Int_Tables_number 123
_symmetry_space_group_name_Hall '-P 4 2'
_cell_length_a 3.7885
_cell_length_b 3.7885
_cell_length_c 11.3079
_cell_angle_alpha 90.00
_cell_angle_beta 90.00
_cell_angle_gamma 90.00
loop_
_atom_site_label
_atom_site_type_symbol
_atom_site_fract_x
_atom_site_fract_y
_atom_site_fract_z
_atom_site_occupancy
Dy1 Dy 0.0000 0.0000 0.1669 1
Ho1 Ho 0.0000 0.0000 0.5000 1
Mg1 Mg 0.5000 0.5000 0.0000 1
Mg2 Mg 0.5000 0.5000 0.3342 1

***

No. 11
# Sn5TeAs4 (PBE-GGA, relaxed)
# - magnetization (μB/f.u.) = 0.0
# - uncorrected energy (eV per cell) = -84.0
# - density of states at the Fermi level (states/eV/atom) = 0.185
# - ΔE_f (raw) (eV/atom) = -0.026
data_Sn5TeAs4
_symmetry_space_group_name_H-M 'P 3 m 1'
_symmetry_Int_Tables_number 156
_cell_length_a 4.1627
_cell_length_b 4.1627
_cell_length_c 45.7941
_cell_angle_alpha 90.00
_cell_angle_beta 90.00
_cell_angle_gamma 120.00
loop_
_symmetry_equiv_pos_as_xyz
'x,y,z'
'-y,x-y,z'
'-x+y,-x,z'
'-y,-x,z'
'-x+y,y,z'
'x,x-y,z'
loop_
_atom_site_label
_atom_site_type_symbol
_atom_site_fract_x
_atom_site_fract_y
_atom_site_fract_z
_atom_site_occupancy
Sn1 Sn 0.0000 0.0000 0.0000 1
Sn2 Sn 0.0000 0.0000 0.1793 1
Sn3 Sn 0.0000 0.0000 0.3725 1
Sn4 Sn 0.0000 0.0000 0.5895 1
Sn5 Sn 0.0000 0.0000 0.8090 1
Sn6 Sn 0.3333 0.6667 0.0899 1
Sn7 Sn 0.3333 0.6667 0.2853 1
Sn8 Sn 0.3333 0.6667 0.4939 1
Sn9 Sn 0.3333 0.6667 0.7027 1
Sn10 Sn 0.3333 0.6667 0.8964 1
Te1 Te 0.0000 0.0000 0.4565 1
Te2 Te 0.0000 0.0000 0.6649 1
As1 As 0.0000 0.0000 0.0621 1
As2 As 0.0000 0.0000 0.2587 1
As3 As 0.0000 0.0000 0.8675 1
As4 As 0.3333 0.6667 0.1507 1
As5 As 0.3333 0.6667 0.3437 1
As6 As 0.3333 0.6667 0.5619 1
As7 As 0.3333 0.6667 0.7824 1
As8 As 0.3333 0.6667 0.9732 1

***

No. 12
# Y2CrIr2 (PBE-GGA, relaxed)
# - magnetization (μB/f.u.) = 0.0
# - uncorrected energy (eV per cell) = -84.3
# - density of states at the Fermi level (states/eV/atom) = 0.693
# - calculated formation energy (eV/atom) = -0.37
data_Y2CrIr2
_symmetry_space_group_name_H-M 'P 4/m b m'
_symmetry_Int_Tables_number 127
_symmetry_space_group_name_Hall '-P 4 2ab'
_cell_length_a 6.5463
_cell_length_b 6.5463
_cell_length_c 4.6012
_cell_angle_alpha 90.00
_cell_angle_beta 90.00
_cell_angle_gamma 90.00
loop_
_atom_site_label
_atom_site_type_symbol
_atom_site_fract_x
_atom_site_fract_y
_atom_site_fract_z
_atom_site_occupancy
Y1 Y 0.1767 0.3233 0.0000 1
Cr1 Cr 0.0000 0.0000 0.5000 1
Ir1 Ir 0.1429 0.6429 0.5000 1

***

Please write out number 12 again, unchanged.
# Y2CrIr2 (PBE-GGA, relaxed)
# - magnetization (μB/f.u.) = 0.0
# - uncorrected energy (eV per cell) = -84.3
# - density of states at the Fermi level (states/eV/atom) = 0.693
# - calculated formation energy (eV/atom) = -0.37
data_Y2CrIr2
_symmetry_space_group_name_H-M 'P 4/m b m'
_symmetry_Int_Tables_number 127
_symmetry_space_group_name_Hall '-P 4 2ab'
_cell_length_a 6.5463
_cell_length_b 6.5463
_cell_length_c 4.6012
_cell_angle_alpha 90.00
_cell_angle_beta 90.00
_cell_angle_gamma 90.00
loop_
_atom_site_label
_atom_site_type_symbol
_atom_site_fract_x
_atom_site_fract_y
_atom_site_fract_z
_atom_site_occupancy
Y1 Y 0.1767 0.3233 0.0000 1
Cr1 Cr 0.0000 0.0000 0.5000 1
Ir1 Ir 0.1429 0.6429 0.5000 1